A plane-wave DFT calculation with PBE-GGA was carried out for a geometry-optimized NiRuBr structure.

It has space group F-43m (No. 216), with a = 6.0133 Å, b = 6.0133 Å, c = 6.0133 Å, α = 90.00°, β = 90.00° and γ = 90.00°. Symmetry generates all atoms from Ni at (0.0000, 0.0000, 0.0000), Ru at (0.2500, 0.2500, 0.2500) and Br at (0.2500, 0.2500, 0.7500).

Its crystal system is cubic. Its energy above the most stable polymorph in this dataset is 384 meV/atom. The value obtained for the uncorrected formation energy is 3.1 eV/f.u.


A plane-wave DFT calculation with PBE-GGA was carried out for a geometry-optimized AgB2W structure.

It has space group I-42d (No. 122), with a = 5.8889 Å, b = 5.8889 Å, c = 5.7984 Å, α = 90.00°, β = 90.00° and γ = 90.00°. Symmetry generates all atoms from Ag at (0.0000, 0.0000, 0.0000), B at (0.2401, 0.2500, 0.6250) and W at (0.0000, 0.0000, 0.5000).

Its crystal system is tetragonal. Its energy above the most stable polymorph in this dataset is 0 meV/atom. The calculation puts the energy of formation at 921 meV/atom.


A plane-wave DFT calculation with PBE-GGA was carried out for a geometry-optimized TbGa4Cu2Ni structure.

It has space group R-3m (No. 166, hexagonal axes), with a = 4.1420 Å, b = 4.1420 Å, c = 25.9898 Å, α = 90.00°, β = 90.00° and γ = 120.00°. Symmetry generates all atoms from Tb at (0.0000, 0.0000, 0.0000), Ga at (0.0000, 0.0000, 0.1318), Ga at (0.0000, 0.0000, 0.4021), Cu at (0.0000, 0.0000, 0.2377) and Ni at (0.0000, 0.0000, 0.5000).

Its crystal system is trigonal. The calculation puts the energy of formation at -341 meV/atom.


| no. | DFT total energy (eV per atom) | total moment (μB/atom) |
| --- | --- | --- |
| 1 | -4.530 | 1.057 |
| 2 | -6.369 | 0.000 |
| 3 | -4.180 | 0.000 |